6
Lattice="2.2782 7.4887 0.2363 -2.2782 7.4887 0.2363 0.0000 6.1947 7.8078" Properties=species:S:1:pos:R:3 comment="Ba2Fe PBE-GGA relaxed" delta_e_f_mev_per_atom=399 e_tot_ev_per_cell=-22.22 n_ef_per_ev_cell=7.53 pbc="T T T"
Ba 0.0000 5.0030 4.9225
Ba 0.0000 5.2688 0.9229
Ba 0.0000 15.9033 7.3573
Ba 0.0000 16.1691 3.3578
Fe 0.0000 11.0227 3.1612
Fe 0.0000 10.1494 5.1191

10
Lattice="-3.8625 -1.8254 1.7277 2.4478 -3.4509 1.8264 1.3282 5.7020 8.9936" Properties=species:S:1:pos:R:3 comment="La2MgSn3Pt4 PBE-GGA relaxed" delta_e_f_mev_per_atom=-915 e_tot_ev_per_cell=-56.77 n_ef_per_ev_cell=4.33 pbc="T T T"
La -1.6100 0.4662 3.0388
La 2.2309 2.5976 7.7318
Mg -0.0432 0.2128 6.2739
Sn 0.6641 2.8510 4.4968
Sn -0.7737 4.0566 8.7019
Sn 1.3946 -0.9928 2.0688
Pt -0.7073 -2.6381 1.7771
Pt 0.0000 0.0000 0.0000
Pt -1.0961 2.6725 6.5187
Pt 1.7170 0.3913 4.2519

6
Lattice="4.5692 0.0000 0.0000 0.0000 4.5692 0.0000 0.0000 0.0000 8.9521" Properties=species:S:1:pos:R:3 comment="YThBi PBE-GGA relaxed" delta_e_f_mev_per_atom=-449 e_tot_ev_per_cell=-38.23 n_ef_per_ev_cell=5.31 pbc="T T T"
Y 2.2846 2.2846 4.4761
Y 0.0000 0.0000 4.4761
Th 0.0000 2.2846 7.6958
Th 2.2846 0.0000 1.2563
Bi 0.0000 2.2846 2.1012
Bi 2.2846 0.0000 6.8509

Please write out number 2 again, unchanged.
10
Lattice="-3.8625 -1.8254 1.7277 2.4478 -3.4509 1.8264 1.3282 5.7020 8.9936" Properties=species:S:1:pos:R:3 comment="La2MgSn3Pt4 PBE-GGA relaxed" delta_e_f_mev_per_atom=-915 e_tot_ev_per_cell=-56.77 n_ef_per_ev_cell=4.33 pbc="T T T"
La -1.6100 0.4662 3.0388
La 2.2309 2.5976 7.7318
Mg -0.0432 0.2128 6.2739
Sn 0.6641 2.8510 4.4968
Sn -0.7737 4.0566 8.7019
Sn 1.3946 -0.9928 2.0688
Pt -0.7073 -2.6381 1.7771
Pt 0.0000 0.0000 0.0000
Pt -1.0961 2.6725 6.5187
Pt 1.7170 0.3913 4.2519

- What is the formula in the third record?
  YThBi